1.
AlAgSnSe4: optimized geometry, PBE.

Unit cell a=7.7718 b=7.8873 c=7.8873 alpha=61.12 beta=60.48 gamma=60.48
Element x y z (fractional)
Se: 0.2450 0.7874 0.7226
Ag: 0.3602 0.3898 0.8898
Sn: 0.0000 0.0000 0.0000
Se: 0.2269 0.7652 0.2652
Se: 0.7428 0.7652 0.2652
Ag: 0.6398 0.6102 0.1102
Se: 0.7550 0.7774 0.7126
Al: 0.5000 0.0000 0.5000
Sn: 0.0000 0.5000 0.5000
Se: 0.2450 0.2226 0.2874
Se: 0.2572 0.2348 0.7348
Al: 0.0000 0.0000 0.5000
Se: 0.7550 0.2126 0.2774
Se: 0.7731 0.2348 0.7348

For the total moment, the calculation gives 0.00 μB/cell. The calculation puts the total energy at -3.984 eV/atom. As for the uncorrected formation energy: -0.4795 eV per atom. The calculated density is 5.45 Mg/m³.

2.
Al2AgSnSe: optimized geometry, PBE.

Unit cell a=5.0262 b=5.0152 c=5.0262 alpha=90.00 beta=90.00 gamma=90.00
Element x y z (fractional)
Al: 0.5000 0.0000 0.0000
Ag: 0.0000 0.5000 0.0000
Al: 0.0000 0.0000 0.5000
Se: 0.0000 0.0000 0.0000
Sn: 0.5000 0.5000 0.5000

For the total moment, the calculation gives 0.00 μB/cell. The calculation puts the total energy at -3.087 eV/atom. As for the uncorrected formation energy: 0.4780 eV per atom. The calculated density is 4.71 Mg/m³.

3.
AlAgSn2Se6: optimized geometry, PBE.

Unit cell a=7.1272 b=9.6026 c=9.6026 alpha=86.37 beta=73.32 gamma=73.32
Element x y z (fractional)
Sn: 0.6949 0.2119 0.3773
Se: 0.9715 0.2985 0.4464
Sn: 0.1949 0.3773 0.2119
Se: 0.9045 0.0179 0.1740
Se: 0.0955 0.9821 0.8260
Sn: 0.8051 0.6227 0.7881
Ag: 0.2500 0.7898 0.2102
Se: 0.4045 0.1740 0.0179
Al: 0.2500 0.1793 0.8207
Ag: 0.7500 0.2102 0.7898
Sn: 0.3051 0.7881 0.6227
Se: 0.5955 0.8260 0.9821
Se: 0.4715 0.4464 0.2985
Se: 0.5762 0.1017 0.6333
Se: 0.9238 0.3667 0.8983
Se: 0.0285 0.7015 0.5536
Al: 0.7500 0.8207 0.1793
Se: 0.5285 0.5536 0.7015
Se: 0.4238 0.8983 0.3667
Se: 0.0762 0.6333 0.1017

For the total moment, the calculation gives 0.00 μB/cell. The calculation puts the total energy at -3.905 eV/atom. As for the uncorrected formation energy: -0.3541 eV per atom. The calculated density is 4.66 Mg/m³.